*a*
DFT (PBE) results for a relaxed Cu8GeAu2 crystal.

Unit cell a=4.5865 b=5.3030 c=7.0623 alpha=112.05 beta=100.88 gamma=90.00
Sites, in units of the cell vectors:
Ge (0.5000, 0.0000, 0.0000)
Au (0.2826, 0.6616, 0.3232)
Au (0.7174, 0.3384, 0.6768)
Cu (0.7797, 0.9165, 0.3259)
Cu (0.2203, 0.5907, 0.6742)
Cu (0.2738, 0.1661, 0.3321)
Cu (0.0000, 0.2431, 0.0000)
Cu (0.7262, 0.8339, 0.6679)
Cu (0.7797, 0.4093, 0.3258)
Cu (0.2203, 0.0835, 0.6741)
Cu (0.0000, 0.7569, 0.0000)

V = 156 Å³/cell
ρ = 10.39 Mg/m³
space group = No. 12


*b*
DFT (PBE) results for a relaxed Cu8GeAu2 crystal.

Unit cell a=4.5330 b=6.8591 c=7.3411 alpha=62.15 beta=72.75 gamma=50.61
Sites, in units of the cell vectors:
Cu (0.7828, 0.1029, 0.2648)
Cu (0.7828, 0.3677, 0.7352)
Cu (0.3005, 0.4445, 0.0000)
Cu (0.5000, 0.8087, 0.3826)
Cu (0.5000, 0.1913, 0.6174)
Cu (0.6995, 0.5555, 0.0000)
Cu (0.2172, 0.6323, 0.2648)
Cu (0.2172, 0.8971, 0.7352)
Ge (0.5000, 0.0000, 0.0000)
Au (0.0000, 0.3134, 0.3732)
Au (0.0000, 0.6866, 0.6268)

V = 156 Å³/cell
ρ = 10.38 Mg/m³
space group = No. 12


Going by the energies, *a* is most stable and the next is 50 meV/atom up.


*a*
DFT (PBE) results for a relaxed Cu2GeAu8 crystal.

Unit cell a=4.8353 b=6.8083 c=6.8083 alpha=85.64 beta=76.50 gamma=76.50
Sites, in units of the cell vectors:
Cu (0.4858, 0.1346, 0.1346)
Cu (0.5142, 0.8654, 0.8654)
Ge (0.0000, 0.0000, 0.0000)
Au (0.7929, 0.1480, 0.6744)
Au (0.2071, 0.3256, 0.8520)
Au (0.9040, 0.2695, 0.2695)
Au (0.0960, 0.7305, 0.7305)
Au (0.7929, 0.6744, 0.1480)
Au (0.2071, 0.8520, 0.3256)
Au (0.3035, 0.4194, 0.4194)
Au (0.6965, 0.5806, 0.5806)

V = 212 Å³/cell
ρ = 13.92 Mg/m³
space group = No. 12


*b*
DFT (PBE) results for a relaxed Cu2GeAu8 crystal.

Unit cell a=4.2323 b=7.5784 c=7.4131 alpha=120.74 beta=106.59 gamma=90.00
Sites, in units of the cell vectors:
Cu (0.1937, 0.6937, 0.3873)
Cu (0.8063, 0.3063, 0.6127)
Ge (0.5000, 0.0000, 0.0000)
Au (0.6618, 0.8797, 0.3237)
Au (0.3382, 0.5560, 0.6763)
Au (0.1423, 0.1423, 0.2846)
Au (0.0000, 0.3172, 0.0000)
Au (0.8577, 0.8577, 0.7154)
Au (0.6618, 0.4440, 0.3237)
Au (0.3382, 0.1203, 0.6763)
Au (0.0000, 0.6828, 0.0000)

V = 193 Å³/cell
ρ = 15.29 Mg/m³
space group = No. 71


Going by the energies, *b* is most stable and the next is 89 meV/atom up.


*a*
DFT (PBE) results for a relaxed CuGeAu4 crystal.

Unit cell a=5.6994 b=5.6995 c=7.9045 alpha=104.90 beta=104.90 gamma=106.08
Sites, in units of the cell vectors:
Cu (0.3749, 0.6251, 0.2500)
Cu (0.6251, 0.3749, 0.7500)
Ge (0.8739, 0.1261, 0.2500)
Ge (0.1261, 0.8739, 0.7500)
Au (0.2404, 0.9983, 0.4524)
Au (0.0017, 0.7596, 0.0476)
Au (0.2859, 0.5433, 0.5466)
Au (0.4568, 0.7142, 0.9535)
Au (0.7596, 0.0017, 0.5476)
Au (0.7141, 0.4567, 0.4534)
Au (0.9983, 0.2404, 0.9524)
Au (0.5432, 0.2858, 0.0465)

V = 223 Å³/cell
ρ = 13.76 Mg/m³
space group = No. 15


*b*
DFT (PBE) results for a relaxed CuGeAu4 crystal.

Unit cell a=4.6923 b=4.6923 c=5.6961 alpha=90.72 beta=90.72 gamma=59.89
Sites, in units of the cell vectors:
Cu (0.0000, 0.0000, 0.0000)
Ge (0.5000, 0.5000, 0.5000)
Au (0.3337, 0.3337, 0.0792)
Au (0.6663, 0.6663, 0.9208)
Au (0.8313, 0.8313, 0.3980)
Au (0.1687, 0.1687, 0.6020)

V = 108 Å³/cell
ρ = 14.14 Mg/m³
space group = No. 12


Going by the energies, *b* is most stable and the next is 32 meV/atom up.